This record from Alexandria describes Na2YTiMo after structural relaxation. The functional is GGA-PBEsol.

Cell and atoms, written as extended XYZ:
```
5
Lattice="5.2200 0.0000 0.0000 0.0000 5.2200 0.0000 0.0000 0.0000 4.5252" Properties=species:S:1:pos:R:3 pbc="T T T"
Na 0.0000 2.6100 0.0000
Na 2.6100 0.0000 0.0000
Y 0.0000 0.0000 2.2626
Ti 2.6100 2.6100 0.0000
Mo 2.6100 2.6100 2.2626
```

## Properties
magnetic moment = 0.0 μB/cell
calculated volume = 24.7 Å³ per atom
energy of formation = 1130 meV per atom